<a>
First-principles (PBE) data for a geometry-optimized Mg2BiTeP structure, as listed in Alexandria.

a = 5.3464 Å, b = 5.3464 Å, c = 6.0164 Å
α = 90.00°, β = 90.00°, γ = 90.00°
Closest atoms and distances in Å follow each position.
Positions (direct):
Mg (0.0000, 0.5000, 0.0000)  2 Bi 2.67
Mg (0.5000, 0.0000, 0.0000)  2 Bi 2.67
Bi (0.0000, 0.0000, 0.0000)  4 Mg 2.67
Te (0.0000, 0.0000, 0.5000)  2 Bi 3.01
P (0.5000, 0.5000, 0.5000)  4 Te 3.78, 8 Mg 4.02

Properties
Crystal system   tetragonal
Space group   No. 123

=====

<b>
First-principles (PBE) data for a geometry-optimized Mg2BiTeP structure, as listed in Alexandria.

a = 5.2737 Å, b = 5.2737 Å, c = 6.0400 Å
α = 90.00°, β = 90.00°, γ = 90.00°
Closest atoms and distances in Å follow each position.
Positions (direct):
Mg (0.0000, 0.5000, 0.0000)  2 Te 2.64
Mg (0.5000, 0.0000, 0.0000)  2 Te 2.64
Bi (0.0000, 0.0000, 0.5000)  2 Te 3.02
Te (0.0000, 0.0000, 0.0000)  4 Mg 2.64
P (0.5000, 0.5000, 0.5000)  4 Bi 3.73, 8 Mg 4.01

Properties
Crystal system   tetragonal
Space group   No. 123

=====

Compare the structures above. Which one is the least stable? <a> is.